The following is a PBE+U calculation of a relaxed structure of K2MnHF6, from the Alexandria database.

Lattice parameters (Å, degrees): 5.487 5.487 10.878 75.39 75.39 60.00
Sites, in units of the cell vectors:
F1 0.226 0.667 0.881
H1 0.373 0.373 0.880
F2 0.774 0.774 0.119
F3 0.625 0.148 0.601
Mn1 0.500 0.500 0.500
F4 0.774 0.333 0.119
Mn2 0.000 0.000 0.000
K1 0.723 0.723 0.830
F5 0.226 0.226 0.881
F6 0.667 0.226 0.881
F7 0.852 0.375 0.399
K2 0.881 0.881 0.358
H2 0.627 0.627 0.120
F8 0.375 0.375 0.399
K3 0.119 0.119 0.642
K4 0.277 0.277 0.170
F9 0.625 0.625 0.601
F10 0.333 0.774 0.119
F11 0.148 0.625 0.601
F12 0.375 0.852 0.399

## Properties
Magnetic moment ... 8.0 Bohr magnetons per cell
Density ... 3.0 g cm⁻³
Total energy ... -4.7980 eV/atom
V ... 271.3 Å³ per cell